VASP calculation (PBE) on a relaxed KTlCr4 crystal.

Geometry as POSCAR:
```
KTlCr4
1.0
3.131 -1.866 -3.809
2.072 -4.829 0.421
-1.696 -3.879 -3.142
K Tl Cr
1 1 4
direct
0.750 0.750 0.750
0.000 0.000 0.000
0.832 0.389 0.389
0.389 0.389 0.832
0.389 0.832 0.389
0.389 0.389 0.389
```

## Properties
- Density: 7.2 g/cm³
- Uncorrected energy: -5.819 eV/atom
- Volume: 103.6 Å³/cell
- Fermi-level density of states: 6.3 states/eV/cell
- Energy of formation from the pure elements: 113 kJ/mol of atoms

VASP calculation (PBE) on a relaxed Ba4NiPb crystal.

Geometry as POSCAR:
```
Ba4NiPb
1.0
0.000 5.018 5.018
5.018 0.000 5.018
5.018 5.018 0.000
Ba Ni Pb
4 1 1
direct
0.876 0.375 0.375
0.375 0.375 0.876
0.375 0.876 0.375
0.375 0.375 0.375
0.750 0.750 0.750
0.000 0.000 0.000
```

## Properties
- Density: 5.4 g/cm³
- Uncorrected energy: -2.260 eV/atom
- Volume: 252.7 Å³/cell
- Fermi-level density of states: 8.1 states/eV/cell
- Energy of formation from the pure elements: 58 kJ/mol of atoms